# 1
DFT (PBE) results for a relaxed CeLuGaPd crystal.

Cell: 7.1140 7.1140 7.1140 Å, 90.00 90.00 90.00°
Fractional positions:
Ce 0.0000 0.0000 0.0000
Ce 0.0000 0.5000 0.5000
Ce 0.5000 0.0000 0.5000
Ce 0.5000 0.5000 0.0000
Lu 0.0000 0.0000 0.5000
Lu 0.0000 0.5000 0.0000
Lu 0.5000 0.0000 0.0000
Lu 0.5000 0.5000 0.5000
Ga 0.2500 0.2500 0.2500
Ga 0.2500 0.7500 0.7500
Ga 0.7500 0.2500 0.7500
Ga 0.7500 0.7500 0.2500
Pd 0.2500 0.2500 0.7500
Pd 0.2500 0.7500 0.2500
Pd 0.7500 0.2500 0.2500
Pd 0.7500 0.7500 0.7500

Results
The value obtained for the total energy is -5.280 eV/atom. The space group is F-43m (216). The value obtained for the formation energy is -0.611 eV/atom. The size of the total moment is 0.43 μB/f.u.


# 2
DFT (PBE) results for a relaxed CePmLuGa crystal.

Cell: 7.4902 7.4902 7.4902 Å, 90.00 90.00 90.00°
Fractional positions:
Ce 0.0000 0.0000 0.0000
Ce 0.0000 0.5000 0.5000
Ce 0.5000 0.0000 0.5000
Ce 0.5000 0.5000 0.0000
Pm 0.2500 0.2500 0.7500
Pm 0.2500 0.7500 0.2500
Pm 0.7500 0.2500 0.2500
Pm 0.7500 0.7500 0.7500
Lu 0.0000 0.0000 0.5000
Lu 0.0000 0.5000 0.0000
Lu 0.5000 0.0000 0.0000
Lu 0.5000 0.5000 0.5000
Ga 0.2500 0.2500 0.2500
Ga 0.2500 0.7500 0.7500
Ga 0.7500 0.2500 0.7500
Ga 0.7500 0.7500 0.2500

Results
The value obtained for the total energy is -4.595 eV/atom. The space group is F-43m (216). The value obtained for the formation energy is -0.037 eV/atom. The size of the total moment is 0.48 μB/f.u.


# 3
DFT (PBE) results for a relaxed CeLuPuGa crystal.

Cell: 7.2270 7.2270 7.2270 Å, 90.00 90.00 90.00°
Fractional positions:
Ce 0.0000 0.0000 0.0000
Ce 0.0000 0.5000 0.5000
Ce 0.5000 0.0000 0.5000
Ce 0.5000 0.5000 0.0000
Lu 0.2500 0.2500 0.7500
Lu 0.2500 0.7500 0.2500
Lu 0.7500 0.2500 0.2500
Lu 0.7500 0.7500 0.7500
Pu 0.2500 0.2500 0.2500
Pu 0.2500 0.7500 0.7500
Pu 0.7500 0.2500 0.7500
Pu 0.7500 0.7500 0.2500
Ga 0.0000 0.0000 0.5000
Ga 0.0000 0.5000 0.0000
Ga 0.5000 0.0000 0.0000
Ga 0.5000 0.5000 0.5000

Results
The value obtained for the total energy is -7.029 eV/atom. The space group is F-43m (216). The value obtained for the formation energy is -0.075 eV/atom. The size of the total moment is 7.63 μB/f.u.